# 1
First-principles (PBE-GGA) data for crystalline Ca2PmDy at its relaxed geometry, as listed in Alexandria via LeMat-Bulk.

ΔE_f in eV/atom: 0.115

a b c (Å): 12.489 12.489 12.489
angles (deg): 16.98 16.98 16.98
Sites, in units of the cell vectors:
Ca (0.000, 0.000, 0.000)
Ca (0.164, 0.164, 0.164)
Pm (0.582, 0.582, 0.582)
Dy (0.416, 0.416, 0.416)

---

# 2
First-principles (PBE-GGA) data for crystalline NaTeH2F at its relaxed geometry, as listed in Alexandria via LeMat-Bulk.

Electronic total energy in eV per atom: -2.49

a b c (Å): 4.344 4.344 3.931
angles (deg): 90.00 90.00 90.00
Sites, in units of the cell vectors:
Na (0.000, 0.000, 0.000)
Te (0.500, 0.500, 0.000)
H (0.000, 0.500, 0.500)
H (0.500, 0.000, 0.500)
F (0.000, 0.000, 0.500)

---

# 3
First-principles (PBE-GGA) data for crystalline NaCdPb2 at its relaxed geometry, as listed in Alexandria via LeMat-Bulk.

ΔE_f in eV/atom: -0.066

a b c (Å): 3.886 3.886 7.533
angles (deg): 90.00 90.00 90.00
Sites, in units of the cell vectors:
Na (0.000, 0.000, 0.000)
Cd (0.000, 0.000, 0.500)
Pb (0.500, 0.500, 0.273)
Pb (0.500, 0.500, 0.727)

---

# 4
First-principles (PBE-GGA) data for crystalline CuIr2W at its relaxed geometry, as listed in Alexandria via LeMat-Bulk.

ΔE_f in eV/atom: 0.511

a b c (Å): 5.619 5.619 5.619
angles (deg): 103.42 103.42 122.40
Sites, in units of the cell vectors:
Cu (0.000, 0.000, 0.000)
Cu (0.750, 0.250, 0.500)
Ir (0.147, 0.625, 0.022)
Ir (0.375, 0.397, 0.522)
Ir (0.603, 0.125, 0.978)
Ir (0.875, 0.853, 0.478)
W (0.250, 0.750, 0.500)
W (0.500, 0.500, 0.000)

---

# 5
First-principles (PBE-GGA) data for crystalline CoNiRu4 at its relaxed geometry, as listed in Alexandria via LeMat-Bulk.

ΔE_f in eV/atom: 0.770

a b c (Å): 5.011 5.011 5.011
angles (deg): 60.00 60.00 60.00
Sites, in units of the cell vectors:
Co (0.000, 0.000, 0.000)
Ni (0.750, 0.750, 0.750)
Ru (0.375, 0.375, 0.375)
Ru (0.375, 0.375, 0.875)
Ru (0.375, 0.875, 0.375)
Ru (0.875, 0.375, 0.375)

---

# 6
First-principles (PBE-GGA) data for crystalline Pb2Br at its relaxed geometry, as listed in Alexandria via LeMat-Bulk.

Electronic total energy in eV per atom: -3.14

a b c (Å): 6.003 6.003 6.194
angles (deg): 90.00 90.00 120.00
Sites, in units of the cell vectors:
Pb (0.000, 0.000, 0.000)
Pb (0.000, 0.000, 0.500)
Pb (0.333, 0.667, 0.250)
Pb (0.667, 0.333, 0.750)
Br (0.333, 0.667, 0.750)
Br (0.667, 0.333, 0.250)

---

# 7
First-principles (PBE-GGA) data for crystalline GaPHPtS at its relaxed geometry, as listed in Alexandria via LeMat-Bulk.

Electronic total energy in eV per atom: -4.64

a b c (Å): 3.605 4.987 5.120
angles (deg): 95.32 90.06 111.16
Sites, in units of the cell vectors:
Ga (0.000, 0.000, 0.000)
P (0.858, 0.713, 0.576)
H (0.301, 0.601, 0.126)
Pt (0.443, 0.884, 0.332)
S (0.647, 0.291, 0.675)

---

# 8
First-principles (PBE-GGA) data for crystalline EuHoHgRu at its relaxed geometry, as listed in Alexandria via LeMat-Bulk.

ΔE_f in eV/atom: -0.191

a b c (Å): 5.085 5.085 5.085
angles (deg): 60.00 60.00 60.00
Sites, in units of the cell vectors:
Eu (0.000, 0.000, 0.000)
Ho (0.500, 0.500, 0.500)
Hg (0.750, 0.750, 0.750)
Ru (0.250, 0.250, 0.250)